(1)
Entry from Alexandria via LeMat-Bulk: MnP2RhO after structural relaxation (PBE with a Hubbard U).

Output
Crystal system   tetragonal
VASP energy   -28.9 eV per formula unit

Unit cell a=4.670 b=4.670 c=3.483 alpha=90.00 beta=90.00 gamma=90.00
Each line ends with the local moment (μB).
Atoms (fractional coordinates):
P 0.000 0.500 0.000  -0.15
P 0.500 0.000 0.000  -0.15
Mn 0.000 0.000 0.000  3.24
Rh 0.500 0.500 0.500  -0.02
O 0.000 0.000 0.500  -0.10

***

(2)
Entry from Alexandria via LeMat-Bulk: MnCdF5 after structural relaxation (PBE with a Hubbard U).

Output
Crystal system   orthorhombic
VASP energy   -34.0 eV per formula unit

Unit cell a=3.842 b=5.659 c=5.659 alpha=74.30 beta=70.16 gamma=70.16
Each line ends with the local moment (μB).
Atoms (fractional coordinates):
Mn 0.000 0.000 0.000  3.85
Cd 0.500 0.500 0.500  0.00
F 0.772 0.228 0.228  -0.01
F 0.000 0.305 0.695  0.03
F 0.500 0.000 0.000  0.02
F 0.000 0.695 0.305  0.03
F 0.228 0.772 0.772  -0.01